(1)
Compound: LaSi
Source: Alexandria via LeMat-Bulk
Functional: PBE
Structure: optimized geometry

As for the energy relative to the elements, uncorrected: -0.38 eV per atom. The space group is I4/m. Its size of the total moment is 0.00 μB/f.u.

CIF file:
```
data_LaSi
_symmetry_space_group_name_H-M 'P 1'
_symmetry_Int_Tables_number 1
_cell_length_a 8.256
_cell_length_b 8.256
_cell_length_c 6.177
_cell_angle_alpha 90.00
_cell_angle_beta 90.00
_cell_angle_gamma 90.00
loop_
_symmetry_equiv_pos_as_xyz
'x,y,z'
loop_
_atom_site_label
_atom_site_fract_x
_atom_site_fract_y
_atom_site_fract_z
_atom_site_occupancy
Si1 0.697 0.426 0.500 1
Si2 0.197 0.926 0.000 1
Si3 0.803 0.074 0.000 1
Si4 0.426 0.303 0.500 1
Si5 0.074 0.197 0.000 1
Si6 0.926 0.803 0.000 1
Si7 0.574 0.697 0.500 1
Si8 0.303 0.574 0.500 1
La1 0.439 0.206 0.000 1
La2 0.294 0.939 0.500 1
La3 0.561 0.794 0.000 1
La4 0.206 0.561 0.000 1
La5 0.939 0.706 0.500 1
La6 0.061 0.294 0.500 1
La7 0.706 0.061 0.500 1
La8 0.794 0.439 0.000 1
```

---

(2)
Compound: ZrAs2Ir
Source: Alexandria via LeMat-Bulk
Functional: PBE
Structure: optimized geometry

The value obtained for the excess energy over the best structure of this formula in the dataset is 6.84 kJ/mol of atoms. The space group is Cm. Its size of the total moment is 0.00 μB/f.u. The calculation puts the formation energy at -0.49 eV per atom.

CIF file:
```
data_ZrAs2Ir
_symmetry_space_group_name_H-M 'P 1'
_symmetry_Int_Tables_number 1
_cell_length_a 5.011
_cell_length_b 5.011
_cell_length_c 4.537
_cell_angle_alpha 73.98
_cell_angle_beta 73.98
_cell_angle_gamma 40.81
loop_
_symmetry_equiv_pos_as_xyz
'x,y,z'
loop_
_atom_site_label
_atom_site_fract_x
_atom_site_fract_y
_atom_site_fract_z
_atom_site_occupancy
Zr1 0.737 0.737 0.812 1
As1 0.000 0.000 0.925 1
As2 0.237 0.237 0.304 1
Ir1 0.526 0.526 0.459 1
```

---

(3)
Compound: HoTlNiPd
Source: Alexandria via LeMat-Bulk
Functional: PBE
Structure: optimized geometry

The space group is F-43m. Its size of the total moment is 0.00 μB/f.u. The calculation puts the formation energy at -0.41 eV per atom.

CIF file:
```
data_HoTlNiPd
_symmetry_space_group_name_H-M 'P 1'
_symmetry_Int_Tables_number 1
_cell_length_a 4.741
_cell_length_b 4.741
_cell_length_c 4.741
_cell_angle_alpha 60.00
_cell_angle_beta 60.00
_cell_angle_gamma 60.00
loop_
_symmetry_equiv_pos_as_xyz
'x,y,z'
loop_
_atom_site_label
_atom_site_fract_x
_atom_site_fract_y
_atom_site_fract_z
_atom_site_occupancy
Tl1 0.000 0.000 0.000 1
Pd1 0.750 0.750 0.750 1
Ho1 0.500 0.500 0.500 1
Ni1 0.250 0.250 0.250 1
```

---

(4)
Compound: Os3PtF
Source: Alexandria via LeMat-Bulk
Functional: PBE
Structure: optimized geometry

The value obtained for the excess energy over the best structure of this formula in the dataset is 99.13 kJ/mol of atoms. As for the energy relative to the elements, uncorrected: 2.58 eV per atom. The space group is Pm-3m. Its size of the total moment is 7.70 μB/f.u.

CIF file:
```
data_Os3PtF
_symmetry_space_group_name_H-M 'P 1'
_symmetry_Int_Tables_number 1
_cell_length_a 4.874
_cell_length_b 4.874
_cell_length_c 4.874
_cell_angle_alpha 90.00
_cell_angle_beta 90.00
_cell_angle_gamma 90.00
loop_
_symmetry_equiv_pos_as_xyz
'x,y,z'
loop_
_atom_site_label
_atom_site_fract_x
_atom_site_fract_y
_atom_site_fract_z
_atom_site_occupancy
Pt1 0.000 0.000 0.000 1
Os1 0.000 0.500 0.000 1
Os2 0.500 0.000 0.000 1
Os3 0.000 0.000 0.500 1
F1 0.500 0.500 0.500 1
```

---

(5)
Compound: PaCdHg
Source: Alexandria via LeMat-Bulk
Functional: PBE
Structure: optimized geometry

The value obtained for the excess energy over the best structure of this formula in the dataset is 30.36 kJ/mol of atoms. The space group is Cm. Its size of the total moment is 0.72 μB/f.u. The calculation puts the formation energy at 0.33 eV per atom.

CIF file:
```
data_PaCdHg
_symmetry_space_group_name_H-M 'P 1'
_symmetry_Int_Tables_number 1
_cell_length_a 3.035
_cell_length_b 2.971
_cell_length_c 9.588
_cell_angle_alpha 117.60
_cell_angle_beta 99.11
_cell_angle_gamma 90.00
loop_
_symmetry_equiv_pos_as_xyz
'x,y,z'
loop_
_atom_site_label
_atom_site_fract_x
_atom_site_fract_y
_atom_site_fract_z
_atom_site_occupancy
Cd1 0.492 0.646 0.985 1
Hg1 0.840 0.685 0.681 1
Pa1 0.667 0.669 0.335 1
```

---

(6)
Compound: BeCd2Hg
Source: Alexandria via LeMat-Bulk
Functional: PBE
Structure: optimized geometry

The value obtained for the excess energy over the best structure of this formula in the dataset is 8.00 kJ/mol of atoms. The space group is R-3m. Its size of the total moment is 0.00 μB/f.u. The calculation puts the formation energy at 0.29 eV per atom.

CIF file:
```
data_BeCd2Hg
_symmetry_space_group_name_H-M 'P 1'
_symmetry_Int_Tables_number 1
_cell_length_a 9.338
_cell_length_b 9.338
_cell_length_c 9.338
_cell_angle_alpha 19.48
_cell_angle_beta 19.48
_cell_angle_gamma 19.48
loop_
_symmetry_equiv_pos_as_xyz
'x,y,z'
loop_
_atom_site_label
_atom_site_fract_x
_atom_site_fract_y
_atom_site_fract_z
_atom_site_occupancy
Hg1 0.250 0.250 0.250 1
Cd1 0.485 0.485 0.485 1
Cd2 0.015 0.015 0.015 1
Be1 0.750 0.750 0.750 1
```